# 1
# MnTePd (PBE-GGA, optimized geometry)
# mass density	7.55	g cm⁻³
# energy	-18.11	eV per formula unit
# calculated volume	21.19	Å³/atom
# formation energy from raw total energies	-0.202	eV/atom
data_MnTePd
_space_group_name_H-M_alt 'P 1'
_space_group_IT_number 1
_space_group_name_Hall 'P 1'
_cell_length_a 4.480
_cell_length_b 4.480
_cell_length_c 4.480
_cell_angle_alpha 60.00
_cell_angle_beta 60.00
_cell_angle_gamma 60.00
loop_
_atom_site_label
_atom_site_fract_x
_atom_site_fract_y
_atom_site_fract_z
_atom_site_occupancy
Mn1 0.000 0.000 0.000 1
Te1 0.500 0.500 0.500 1
Pd1 0.750 0.750 0.750 1

---

# 2
# AgBiPO2 (PBE-GGA, optimized geometry)
# mass density	5.61	g cm⁻³
# energy	-20.33	eV per formula unit
# calculated volume	22.49	Å³/atom
# formation energy from raw total energies	0.346	eV/atom
# polymorph energy (0 for the lowest one)	208	meV per atom
data_AgBiPO2
_space_group_name_H-M_alt 'P 1'
_space_group_IT_number 1
_space_group_name_Hall 'P 1'
_cell_length_a 4.126
_cell_length_b 4.126
_cell_length_c 6.604
_cell_angle_alpha 90.00
_cell_angle_beta 90.00
_cell_angle_gamma 90.00
loop_
_atom_site_label
_atom_site_fract_x
_atom_site_fract_y
_atom_site_fract_z
_atom_site_occupancy
Ag1 0.000 0.000 0.000 1
Bi1 0.000 0.000 0.500 1
P1 0.500 0.500 0.000 1
O1 0.000 0.500 0.500 1
O2 0.500 0.000 0.500 1

---

# 3
# CoNiI2N (PBE-GGA, optimized geometry)
# mass density	6.22	g cm⁻³
# energy	-19.66	eV per formula unit
# calculated volume	20.59	Å³/atom
# formation energy from raw total energies	0.931	eV/atom
# polymorph energy (0 for the lowest one)	197	meV per atom
data_CoNiI2N
_space_group_name_H-M_alt 'P 1'
_space_group_IT_number 1
_space_group_name_Hall 'P 1'
_cell_length_a 5.431
_cell_length_b 5.431
_cell_length_c 3.490
_cell_angle_alpha 90.00
_cell_angle_beta 90.00
_cell_angle_gamma 90.00
loop_
_atom_site_label
_atom_site_fract_x
_atom_site_fract_y
_atom_site_fract_z
_atom_site_occupancy
Co1 0.000 0.000 0.000 1
Ni1 0.500 0.500 0.500 1
I1 0.000 0.500 0.500 1
I2 0.500 0.000 0.500 1
N1 0.500 0.500 0.000 1

---

# 4
# Nd2DyHoAs4 (PBE-GGA, optimized geometry)
# mass density	7.30	g cm⁻³
# energy	-49.45	eV per formula unit
# calculated volume	26.04	Å³/atom
data_Nd2DyHoAs4
_space_group_name_H-M_alt 'P 1'
_space_group_IT_number 1
_space_group_name_Hall 'P 1'
_cell_length_a 7.256
_cell_length_b 4.195
_cell_length_c 7.261
_cell_angle_alpha 90.00
_cell_angle_beta 109.48
_cell_angle_gamma 90.00
loop_
_atom_site_label
_atom_site_fract_x
_atom_site_fract_y
_atom_site_fract_z
_atom_site_occupancy
Nd1 0.000 0.000 0.000 1
Nd2 0.000 0.500 0.500 1
Dy1 0.500 0.000 0.500 1
Ho1 0.500 0.500 0.000 1
As1 0.260 0.000 0.754 1
As2 0.260 0.500 0.253 1
As3 0.740 0.000 0.246 1
As4 0.740 0.500 0.747 1

---

# 5
# Na2MnH6Pd (PBE-GGA, optimized geometry)
# mass density	3.67	g cm⁻³
# energy	-38.15	eV per formula unit
# calculated volume	9.65	Å³/atom
data_Na2MnH6Pd
_space_group_name_H-M_alt 'P 1'
_space_group_IT_number 1
_space_group_name_Hall 'P 1'
_cell_length_a 5.128
_cell_length_b 5.128
_cell_length_c 5.153
_cell_angle_alpha 119.83
_cell_angle_beta 119.83
_cell_angle_gamma 89.81
loop_
_atom_site_label
_atom_site_fract_x
_atom_site_fract_y
_atom_site_fract_z
_atom_site_occupancy
Na1 0.250 0.750 0.000 1
Na2 0.750 0.250 0.000 1
Mn1 0.000 0.000 0.500 1
H1 0.246 0.246 0.991 1
H2 0.248 0.248 0.501 1
H3 0.248 0.752 0.500 1
H4 0.752 0.248 0.500 1
H5 0.752 0.752 0.499 1
H6 0.754 0.754 0.009 1
Pd1 0.500 0.500 0.500 1

---

# 6
# Mg2HgBr (PBE-GGA, optimized geometry)
# mass density	5.54	g cm⁻³
# energy	-6.54	eV per formula unit
# calculated volume	24.65	Å³/atom
# formation energy from raw total energies	-0.343	eV/atom
# polymorph energy (0 for the lowest one)	144	meV per atom
data_Mg2HgBr
_space_group_name_H-M_alt 'P 1'
_space_group_IT_number 1
_space_group_name_Hall 'P 1'
_cell_length_a 6.207
_cell_length_b 6.207
_cell_length_c 4.833
_cell_angle_alpha 93.58
_cell_angle_beta 93.58
_cell_angle_gamma 32.05
loop_
_atom_site_label
_atom_site_fract_x
_atom_site_fract_y
_atom_site_fract_z
_atom_site_occupancy
Mg1 0.000 0.000 0.000 1
Mg2 0.243 0.243 0.502 1
Hg1 0.724 0.724 0.998 1
Br1 0.470 0.470 0.503 1

---

# 7
# Li2PIr (PBE-GGA, optimized geometry)
# mass density	7.26	g cm⁻³
# energy	-18.81	eV per formula unit
# calculated volume	13.55	Å³/atom
data_Li2PIr
_space_group_name_H-M_alt 'P 1'
_space_group_IT_number 1
_space_group_name_Hall 'P 1'
_cell_length_a 2.664
_cell_length_b 2.664
_cell_length_c 8.560
_cell_angle_alpha 90.00
_cell_angle_beta 90.00
_cell_angle_gamma 116.82
loop_
_atom_site_label
_atom_site_fract_x
_atom_site_fract_y
_atom_site_fract_z
_atom_site_occupancy
Li1 0.000 0.000 0.243 1
Li2 0.000 0.000 0.757 1
P1 0.500 0.500 0.000 1
Ir1 0.500 0.500 0.500 1

---

# 8
# Er2SiPIr6 (PBE-GGA, optimized geometry)
# mass density	14.09	g cm⁻³
# energy	-78.70	eV per formula unit
# calculated volume	18.23	Å³/atom
# formation energy from raw total energies	-0.558	eV/atom
data_Er2SiPIr6
_space_group_name_H-M_alt 'P 1'
_space_group_IT_number 1
_space_group_name_Hall 'P 1'
_cell_length_a 5.380
_cell_length_b 8.542
_cell_length_c 7.932
_cell_angle_alpha 90.00
_cell_angle_beta 90.00
_cell_angle_gamma 90.00
loop_
_atom_site_label
_atom_site_fract_x
_atom_site_fract_y
_atom_site_fract_z
_atom_site_occupancy
Er1 0.250 0.024 0.210 1
Er2 0.250 0.476 0.210 1
Er3 0.750 0.524 0.790 1
Er4 0.750 0.976 0.790 1
Si1 0.250 0.750 0.778 1
Si2 0.750 0.250 0.222 1
P1 0.250 0.250 0.738 1
P2 0.750 0.750 0.262 1
Ir1 0.004 0.250 0.466 1
Ir2 0.007 0.750 0.030 1
Ir3 0.250 0.007 0.601 1
Ir4 0.250 0.493 0.601 1
Ir5 0.493 0.750 0.030 1
Ir6 0.496 0.250 0.466 1
Ir7 0.504 0.750 0.534 1
Ir8 0.507 0.250 0.970 1
Ir9 0.750 0.507 0.399 1
Ir10 0.750 0.993 0.399 1
Ir11 0.993 0.250 0.970 1
Ir12 0.996 0.750 0.534 1

---

# 9
# Nd4MgGa2 (PBE-GGA, optimized geometry)
# mass density	6.05	g cm⁻³
# energy	-28.18	eV per formula unit
# calculated volume	29.06	Å³/atom
# polymorph energy (0 for the lowest one)	116	meV per atom
data_Nd4MgGa2
_space_group_name_H-M_alt 'P 1'
_space_group_IT_number 1
_space_group_name_Hall 'P 1'
_cell_length_a 7.851
_cell_length_b 6.639
_cell_length_c 8.382
_cell_angle_alpha 90.00
_cell_angle_beta 111.37
_cell_angle_gamma 90.00
loop_
_atom_site_label
_atom_site_fract_x
_atom_site_fract_y
_atom_site_fract_z
_atom_site_occupancy
Nd1 0.012 0.250 0.383 1
Nd2 0.189 0.750 0.324 1
Nd3 0.403 0.012 0.754 1
Nd4 0.403 0.488 0.754 1
Nd5 0.597 0.512 0.246 1
Nd6 0.597 0.988 0.246 1
Nd7 0.811 0.250 0.676 1
Nd8 0.988 0.750 0.617 1
Mg1 0.184 0.250 0.053 1
Mg2 0.816 0.750 0.947 1
Ga1 0.242 0.750 0.991 1
Ga2 0.395 0.250 0.421 1
Ga3 0.605 0.750 0.579 1
Ga4 0.758 0.250 0.009 1

---

# 10
# Pm4AgS3 (PBE-GGA, optimized geometry)
# mass density	6.66	g cm⁻³
# energy	-46.56	eV per formula unit
# calculated volume	24.43	Å³/atom
# formation energy from raw total energies	-1.541	eV/atom
data_Pm4AgS3
_space_group_name_H-M_alt 'P 1'
_space_group_IT_number 1
_space_group_name_Hall 'P 1'
_cell_length_a 7.111
_cell_length_b 7.111
_cell_length_c 4.103
_cell_angle_alpha 90.00
_cell_angle_beta 90.00
_cell_angle_gamma 109.62
loop_
_atom_site_label
_atom_site_fract_x
_atom_site_fract_y
_atom_site_fract_z
_atom_site_occupancy
Pm1 0.233 0.233 0.500 1
Pm2 0.241 0.759 0.000 1
Pm3 0.759 0.241 0.000 1
Pm4 0.767 0.767 0.500 1
Ag1 0.500 0.500 0.000 1
S1 0.000 0.000 0.000 1
S2 0.000 0.500 0.500 1
S3 0.500 0.000 0.500 1

---

# 11
# NdIn3Ni3 (PBE-GGA, optimized geometry)
# mass density	7.69	g cm⁻³
# energy	-31.40	eV per formula unit
# calculated volume	20.50	Å³/atom
# polymorph energy (0 for the lowest one)	0	meV per atom
data_NdIn3Ni3
_space_group_name_H-M_alt 'P 1'
_space_group_IT_number 1
_space_group_name_Hall 'P 1'
_cell_length_a 6.942
_cell_length_b 6.942
_cell_length_c 6.942
_cell_angle_alpha 70.34
_cell_angle_beta 70.34
_cell_angle_gamma 70.34
loop_
_atom_site_label
_atom_site_fract_x
_atom_site_fract_y
_atom_site_fract_z
_atom_site_occupancy
Nd1 0.174 0.174 0.174 1
Nd2 0.826 0.826 0.826 1
In1 0.084 0.356 0.682 1
In2 0.318 0.916 0.644 1
In3 0.356 0.682 0.084 1
In4 0.644 0.318 0.916 1
In5 0.682 0.084 0.356 1
In6 0.916 0.644 0.318 1
Ni1 0.179 0.727 0.467 1
Ni2 0.273 0.533 0.821 1
Ni3 0.467 0.179 0.727 1
Ni4 0.533 0.821 0.273 1
Ni5 0.727 0.467 0.179 1
Ni6 0.821 0.273 0.533 1

---

# 12
# Sm2ZnCuAu6 (PBE-GGA, optimized geometry)
# mass density	11.77	g cm⁻³
# energy	-36.50	eV per formula unit
# calculated volume	22.73	Å³/atom
data_Sm2ZnCuAu6
_space_group_name_H-M_alt 'P 1'
_space_group_IT_number 1
_space_group_name_Hall 'P 1'
_cell_length_a 6.850
_cell_length_b 6.850
_cell_length_c 6.850
_cell_angle_alpha 60.00
_cell_angle_beta 60.00
_cell_angle_gamma 60.00
loop_
_atom_site_label
_atom_site_fract_x
_atom_site_fract_y
_atom_site_fract_z
_atom_site_occupancy
Sm1 0.250 0.250 0.250 1
Sm2 0.750 0.750 0.750 1
Zn1 0.000 0.000 0.000 1
Cu1 0.500 0.500 0.500 1
Au1 0.251 0.251 0.749 1
Au2 0.251 0.749 0.251 1
Au3 0.251 0.749 0.749 1
Au4 0.749 0.251 0.251 1
Au5 0.749 0.251 0.749 1
Au6 0.749 0.749 0.251 1

---

Question: The highest calculated volume belongs to which entry?
Answer: Nd4MgGa2

---

Question: Which value of calculated volume does entry 12 give?
Answer: 22.73 Å³/atom